## Pm4Nd2C (GGA-PBE)

Data for an optimized crystal structure of Pm4Nd2C.

Total DFT energy (no corrections) ... -5.43 eV per atom
Space-group type ... R-3m
ρ ... 6717 kg/m3
DOS(E_F) ... 8.0 states/eV/cell

Lattice parameters (Å, degrees): 18.7412 18.7412 18.7412 11.25 11.25 11.25
Fractional coordinates of all 7 atoms:
Pm  0.1395  0.1395  0.1395
Pm  0.3586  0.3586  0.3586
Pm  0.6414  0.6414  0.6414
Pm  0.8605  0.8605  0.8605
Nd  0.2453  0.2453  0.2453
Nd  0.7547  0.7547  0.7547
C  0.0000  0.0000  0.0000

=====

## CePr2Sm9 (GGA-PBE)

Data for an optimized crystal structure of CePr2Sm9.

Total DFT energy (no corrections) ... -4.80 eV per atom
Space-group type ... P4/mmm
ρ ... 7237 kg/m3
DOS(E_F) ... 20.4 states/eV/cell

Lattice parameters (Å, degrees): 5.1396 5.1396 15.4187 90.00 90.00 90.00
Fractional coordinates of all 12 atoms:
Ce  0.0000  0.0000  0.0000
Pr  0.0000  0.0000  0.3316
Pr  0.0000  0.0000  0.6684
Sm  0.0000  0.5000  0.1626
Sm  0.0000  0.5000  0.5000
Sm  0.0000  0.5000  0.8374
Sm  0.5000  0.0000  0.1626
Sm  0.5000  0.0000  0.5000
Sm  0.5000  0.0000  0.8374
Sm  0.5000  0.5000  0.0000
Sm  0.5000  0.5000  0.3326
Sm  0.5000  0.5000  0.6674

=====

## Tm2ThIn2Ag2 (GGA-PBE)

Data for an optimized crystal structure of Tm2ThIn2Ag2.

Total DFT energy (no corrections) ... -4.16 eV per atom
Space-group type ... R-3m
ρ ... 9585 kg/m3
DOS(E_F) ... 3.8 states/eV/cell

Lattice parameters (Å, degrees): 9.0344 9.0344 9.0344 31.23 31.23 31.23
Fractional coordinates of all 7 atoms:
Tm  0.1335  0.1335  0.1335
Tm  0.8665  0.8665  0.8665
Th  0.0000  0.0000  0.0000
In  0.2628  0.2628  0.2628
In  0.7372  0.7372  0.7372
Ag  0.4344  0.4344  0.4344
Ag  0.5656  0.5656  0.5656

=====

## CaZrFe (GGA-PBE)

Data for an optimized crystal structure of CaZrFe.

Energy above the lowest structure with this stoichiometry ... 0.366 eV/atom
Space-group type ... P3m1
ρ ... 4762 kg/m3
DOS(E_F) ... 3.4 states/eV/cell

Lattice parameters (Å, degrees): 4.4269 4.4269 3.8450 90.00 90.00 120.00
Fractional coordinates of all 3 atoms:
Ca  0.0000  0.0000  0.0000
Zr  0.3333  0.6667  0.5338
Fe  0.6667  0.3333  0.3736

=====

## DyNp2Se4 (GGA-PBE)

Data for an optimized crystal structure of DyNp2Se4.

Formation energy from raw total energies ... -1.32 eV/atom
Energy above the lowest structure with this stoichiometry ... 0.000 eV/atom
Space-group type ... Cmcm
ρ ... 8487 kg/m3
DOS(E_F) ... 39.9 states/eV/cell

Lattice parameters (Å, degrees): 7.0469 7.0469 13.8907 90.00 90.00 147.30
Fractional coordinates of all 14 atoms:
Dy  0.1207  0.8793  0.7500
Dy  0.8793  0.1207  0.2500
Np  0.3651  0.6349  0.5682
Np  0.3651  0.6349  0.9318
Np  0.6349  0.3651  0.0682
Np  0.6349  0.3651  0.4318
Se  0.0000  0.0000  0.0000
Se  0.0000  0.0000  0.5000
Se  0.2799  0.7201  0.1259
Se  0.2799  0.7201  0.3741
Se  0.4672  0.5328  0.7500
Se  0.5328  0.4672  0.2500
Se  0.7201  0.2799  0.6259
Se  0.7201  0.2799  0.8741

=====

## ThSb4Pd12 (GGA-PBE)

Data for an optimized crystal structure of ThSb4Pd12.

Formation energy from raw total energies ... -0.14 eV/atom
Space-group type ... Im-3
ρ ... 9302 kg/m3
DOS(E_F) ... 8.4 states/eV/cell

Lattice parameters (Å, degrees): 7.7356 7.7356 7.7356 109.47 109.47 109.47
Fractional coordinates of all 17 atoms:
Th  0.0000  0.0000  0.0000
Sb  0.0000  0.0000  0.5000
Sb  0.0000  0.5000  0.0000
Sb  0.5000  0.0000  0.0000
Sb  0.5000  0.5000  0.5000
Pd  0.1510  0.4986  0.3476
Pd  0.1510  0.8034  0.6524
Pd  0.1966  0.3476  0.8490
Pd  0.3476  0.1510  0.4986
Pd  0.3476  0.8490  0.1966
Pd  0.4986  0.3476  0.1510
Pd  0.5014  0.6524  0.8490
Pd  0.6524  0.1510  0.8034
Pd  0.6524  0.8490  0.5014
Pd  0.8034  0.6524  0.1510
Pd  0.8490  0.1966  0.3476
Pd  0.8490  0.5014  0.6524

=====

Look up the DOS(E_F) of the third one. 3.8 states/eV/cell